# 1
{"formula": "YBiRhS2", "functional": "PBE-GGA", "state": "optimized geometry", "n_ef_per_ev_fu": 5.67, "spacegroup": "P4/mmm, No. 123", "density_g_cm3": 6.5, "magmom_total_mub_per_fu": 0.00, "raw_formation_energy_ev_per_atom": -0.243, "lattice_angstrom": [[4.6569, 0.0000, 0.0000], [0.0000, 5.4430, 0.0000], [0.0000, 0.0000, 4.6569]], "species": ["Rh", "S", "S", "Bi", "Y"], "frac_coords": [[0.0000, 0.0000, 0.0000], [0.0000, 0.0000, 0.5000], [0.5000, 0.0000, 0.0000], [0.0000, 0.5000, 0.0000], [0.5000, 0.5000, 0.5000]]}

# 2
{"formula": "BiSb3Rh", "functional": "PBE-GGA", "state": "optimized geometry", "n_ef_per_ev_fu": 6.03, "spacegroup": "Pm-3m, No. 221", "density_g_cm3": 6.0, "e_above_lowest_polymorph_mev_per_atom": 1302, "magmom_total_mub_per_fu": 0.00, "raw_formation_energy_ev_per_atom": 1.542, "lattice_angstrom": [[5.7084, 0.0000, 0.0000], [0.0000, 5.7084, 0.0000], [0.0000, 0.0000, 5.7084]], "species": ["Sb", "Sb", "Sb", "Rh", "Bi"], "frac_coords": [[0.0000, 0.5000, 0.0000], [0.5000, 0.0000, 0.0000], [0.0000, 0.0000, 0.5000], [0.5000, 0.5000, 0.5000], [0.0000, 0.0000, 0.0000]]}

# 3
{"formula": "BiSb12Rh4", "functional": "PBE-GGA", "state": "optimized geometry", "n_ef_per_ev_fu": 7.58, "spacegroup": "Im-3, No. 204", "density_g_cm3": 8.2, "magmom_total_mub_per_fu": 0.00, "raw_formation_energy_ev_per_atom": -0.313, "lattice_angstrom": [[7.7018, 0.0000, -2.7230], [-3.8509, 6.6699, -2.7230], [0.0000, 0.0000, 8.1690]], "species": ["Sb", "Sb", "Sb", "Sb", "Sb", "Sb", "Sb", "Sb", "Sb", "Sb", "Sb", "Sb", "Rh", "Rh", "Rh", "Rh", "Bi"], "frac_coords": [[0.6632, 0.5090, 0.8458], [0.3368, 0.4910, 0.1542], [0.1825, 0.8458, 0.3368], [0.5090, 0.8458, 0.6632], [0.8458, 0.6632, 0.5090], [0.1542, 0.6632, 0.8175], [0.3368, 0.1825, 0.8458], [0.8175, 0.1542, 0.6632], [0.1542, 0.3368, 0.4910], [0.6632, 0.8175, 0.1542], [0.8458, 0.3368, 0.1825], [0.4910, 0.1542, 0.3368], [0.5000, 0.5000, 0.5000], [0.0000, 0.5000, 0.0000], [0.0000, 0.0000, 0.5000], [0.5000, 0.0000, 0.0000], [0.0000, 0.0000, 0.0000]]}

# 4
{"formula": "BiSb2Rh2", "functional": "PBE-GGA", "state": "optimized geometry", "n_ef_per_ev_fu": 4.32, "spacegroup": "I4/mmm, No. 139", "density_g_cm3": 9.8, "e_above_lowest_polymorph_mev_per_atom": 130, "magmom_total_mub_per_fu": 0.00, "raw_formation_energy_ev_per_atom": -0.024, "lattice_angstrom": [[-2.5155, -3.3435, -1.1494], [0.9262, -1.9846, 3.7458], [-5.4642, -0.0279, 3.8493]], "species": ["Rh", "Rh", "Bi", "Sb", "Sb"], "frac_coords": [[0.6169, 0.6169, 0.7662], [0.3831, 0.3831, 0.2338], [0.0000, 0.0000, 0.0000], [0.2500, 0.7500, 0.5000], [0.7500, 0.2500, 0.5000]]}